Compound: TiCdIr3
Source: Alexandria
Functional: SCAN
Structure: PBEsol geometry

Lattice parameters (Å, degrees): 4.700 4.700 4.700 90.00 90.00 90.00
Positions (direct):
Ti: 0.000 0.000 0.000
Cd: 0.500 0.500 0.500
Ir: 0.000 0.500 0.500
Ir: 0.500 0.000 0.500
Ir: 0.500 0.500 0.000

Electronic total energy ... -49.778 eV/atom
Formation energy ... 2.17 eV per atom